1.
# Ta14Os GGA-PBEsol relaxed
data_Ta14Os
_chemical_formula_sum 'Ta28 Os2'
_cell_length_a 10.0223
_cell_length_b 10.0223
_cell_length_c 5.2913
_cell_angle_alpha 90.00
_cell_angle_beta 90.00
_cell_angle_gamma 90.00
_space_group_name_H-M_alt 'P 1'
_space_group_IT_number 1
_space_group_name_Hall 'P 1'
loop_
_atom_site_label
_atom_site_fract_x
_atom_site_fract_y
_atom_site_fract_z
Ta1 0.0361 0.3700 0.0000
Ta2 0.0659 0.2571 0.5000
Ta3 0.1019 0.1019 0.0000
Ta4 0.1300 0.5361 0.5000
Ta5 0.1809 0.8191 0.2475
Ta6 0.1809 0.8191 0.7525
Ta7 0.2429 0.5659 0.0000
Ta8 0.2571 0.0659 0.5000
Ta9 0.3191 0.3191 0.2525
Ta10 0.3191 0.3191 0.7475
Ta11 0.3700 0.0361 0.0000
Ta12 0.3981 0.6019 0.5000
Ta13 0.4341 0.7571 0.0000
Ta14 0.4639 0.8700 0.5000
Ta15 0.5361 0.1300 0.5000
Ta16 0.5659 0.2429 0.0000
Ta17 0.6019 0.3981 0.5000
Ta18 0.6300 0.9639 0.0000
Ta19 0.6809 0.6809 0.2525
Ta20 0.6809 0.6809 0.7475
Ta21 0.7429 0.9341 0.5000
Ta22 0.7571 0.4341 0.0000
Ta23 0.8191 0.1809 0.2475
Ta24 0.8191 0.1809 0.7525
Ta25 0.8700 0.4639 0.5000
Ta26 0.8981 0.8981 0.0000
Ta27 0.9341 0.7429 0.5000
Ta28 0.9639 0.6300 0.0000
Os1 0.0000 0.0000 0.5000
Os2 0.5000 0.5000 0.0000
# Raw total energy ... -12.60 eV/atom
# DFT formation energy ... -68.1 meV/atom
# Density ... 17.02 g/cm³
# Total moment ... 0.0 μB per formula unit

2.
# Li3MnCo2O6 GGA-PBEsol relaxed
data_Li3MnCo2O6
_chemical_formula_sum 'Li6 Mn2 Co4 O12'
_cell_length_a 7.4747
_cell_length_b 7.4747
_cell_length_c 11.5484
_cell_angle_alpha 123.73
_cell_angle_beta 123.73
_cell_angle_gamma 21.77
_space_group_name_H-M_alt 'P 1'
_space_group_IT_number 1
_space_group_name_Hall 'P 1'
loop_
_atom_site_label
_atom_site_fract_x
_atom_site_fract_y
_atom_site_fract_z
Li1 0.0024 0.0024 0.2540
Li2 0.3278 0.3278 0.7443
Li3 0.3327 0.3327 0.2549
Li4 0.6673 0.6673 0.7451
Li5 0.6722 0.6722 0.2557
Li6 0.9976 0.9976 0.7460
Mn1 0.0000 0.0000 0.0000
Mn2 0.0000 0.0000 0.5000
Co1 0.3226 0.3226 0.5000
Co2 0.3329 0.3329 0.0003
Co3 0.6671 0.6671 0.9997
Co4 0.6774 0.6774 0.5000
O1 0.1568 0.1568 0.6156
O2 0.1582 0.1582 0.1062
O3 0.1620 0.1620 0.3654
O4 0.1765 0.1765 0.8970
O5 0.4920 0.4920 0.1080
O6 0.4990 0.4990 0.6127
O7 0.5010 0.5010 0.3873
O8 0.5080 0.5080 0.8920
O9 0.8235 0.8235 0.1030
O10 0.8380 0.8380 0.6346
O11 0.8418 0.8418 0.8938
O12 0.8432 0.8432 0.3844
# Raw total energy ... -6.81 eV/atom
# Density ... 4.87 g/cm³
# Polymorph energy (0 for the lowest one) ... 19 meV/atom
# Formation energy from raw total energies ... -1591.1 meV per atom
# Total moment ... 6.0 μB per formula unit

3.
# SrLiB9O15 GGA-PBEsol relaxed
data_SrLiB9O15
_chemical_formula_sum 'Sr2 Li2 B18 O30'
_cell_length_a 8.5044
_cell_length_b 8.5044
_cell_length_c 8.5044
_cell_angle_alpha 76.97
_cell_angle_beta 76.97
_cell_angle_gamma 76.97
_space_group_name_H-M_alt 'P 1'
_space_group_IT_number 1
_space_group_name_Hall 'P 1'
loop_
_atom_site_label
_atom_site_fract_x
_atom_site_fract_y
_atom_site_fract_z
Sr1 0.0000 0.0000 0.0000
Sr2 0.5000 0.5000 0.5000
Li1 0.2690 0.2690 0.2690
Li2 0.7690 0.7690 0.7690
B1 0.0537 0.7182 0.5732
B2 0.0732 0.2182 0.5537
B3 0.1643 0.7187 0.2825
B4 0.2182 0.5537 0.0732
B5 0.2187 0.6643 0.7825
B6 0.2239 0.3692 0.8931
B7 0.2825 0.1643 0.7187
B8 0.3692 0.8931 0.2239
B9 0.3931 0.8692 0.7239
B10 0.5537 0.0732 0.2182
B11 0.5732 0.0537 0.7182
B12 0.6643 0.7825 0.2187
B13 0.7182 0.5732 0.0537
B14 0.7187 0.2825 0.1643
B15 0.7239 0.3931 0.8692
B16 0.7825 0.2187 0.6643
B17 0.8692 0.7239 0.3931
B18 0.8931 0.2239 0.3692
O1 0.0506 0.2221 0.3941
O2 0.0657 0.7427 0.7218
O3 0.1858 0.6890 0.4529
O4 0.1890 0.6858 0.9529
O5 0.1940 0.2258 0.8713
O6 0.2218 0.2427 0.5657
O7 0.2221 0.3941 0.0506
O8 0.2258 0.8713 0.1940
O9 0.2427 0.5657 0.2218
O10 0.2568 0.4914 0.7628
O11 0.2628 0.9914 0.7568
O12 0.3713 0.7258 0.6940
O13 0.3941 0.0506 0.2221
O14 0.4529 0.1858 0.6890
O15 0.4914 0.7628 0.2568
O16 0.5506 0.8941 0.7221
O17 0.5657 0.2218 0.2427
O18 0.6858 0.9529 0.1890
O19 0.6890 0.4529 0.1858
O20 0.6940 0.3713 0.7258
O21 0.7218 0.0657 0.7427
O22 0.7221 0.5506 0.8941
O23 0.7258 0.6940 0.3713
O24 0.7427 0.7218 0.0657
O25 0.7568 0.2628 0.9914
O26 0.7628 0.2568 0.4914
O27 0.8713 0.1940 0.2258
O28 0.8941 0.7221 0.5506
O29 0.9529 0.1890 0.6858
O30 0.9914 0.7568 0.2628
# Raw total energy ... -8.14 eV/atom
# Density ... 2.50 g/cm³
# Formation energy from raw total energies ... -2540.2 meV per atom
# Total moment ... 0.0 μB per formula unit